An optimized crystal structure of TeOsPb. Source: Alexandria via LeMat-Bulk, functional PBE.

Output
**Space group**: F-43m (216)
**Energy**: -5.52 eV/atom
**Energy relative to the elements, uncorrected**: 0.51 eV/atom
**Offset from the most stable computed form**: 228 meV/atom
**N(E_F)**: 2.0 states/eV/cell

abc: 4.656 4.656 4.656
angles: 60.00 60.00 60.00
Sites, in units of the cell vectors:
Te 0.000 0.000 0.000
Os 0.750 0.750 0.750
Pb 0.500 0.500 0.500

An optimized crystal structure of Te2OsPb. Source: Alexandria via LeMat-Bulk, functional PBE.

Output
**Space group**: Immm (71)
**Energy**: -4.94 eV/atom
**Energy relative to the elements, uncorrected**: 0.36 eV/atom
**N(E_F)**: 2.5 states/eV/cell

abc: 6.687 6.687 6.687
angles: 151.08 132.56 56.52
Sites, in units of the cell vectors:
Te 0.179 0.179 0.000
Te 0.821 0.821 0.000
Os 0.000 0.500 0.500
Pb 0.500 0.000 0.500

An optimized crystal structure of TeOsPb. Source: Alexandria via LeMat-Bulk, functional PBE.

Output
**Space group**: C2/m (12)
**Energy**: -5.75 eV/atom
**Energy relative to the elements, uncorrected**: 0.28 eV/atom
**Offset from the most stable computed form**: 0 meV/atom
**N(E_F)**: 4.3 states/eV/cell

abc: 7.401 7.401 5.618
angles: 99.99 99.99 30.17
Sites, in units of the cell vectors:
Te 0.161 0.161 0.355
Te 0.839 0.839 0.645
Os 0.241 0.241 0.837
Os 0.759 0.759 0.163
Pb 0.419 0.419 0.195
Pb 0.581 0.581 0.805